Crystalline Fe2CuHg at its relaxed geometry. Source: Alexandria, functional PBE.

For the formation enthalpy at 0 K, the calculation gives 365 meV/atom. The total energy is -79.46 eV for the cell shown. The density of states at the Fermi level comes out at 8.5 states/eV per cell.

The structure in CIF format:
```
data_Fe2CuHg
_chemical_formula_sum 'Fe8 Cu4 Hg4'
_space_group_name_H-M_alt 'F -4 3 m'
_space_group_IT_number 216
_space_group_name_Hall 'F -4 2 3'
_cell_length_a 6.0983
_cell_length_b 6.0983
_cell_length_c 6.0983
_cell_angle_alpha 90.00
_cell_angle_beta 90.00
_cell_angle_gamma 90.00
loop_
_atom_site_label
_atom_site_fract_x
_atom_site_fract_y
_atom_site_fract_z
Fe1 0.0000 0.0000 0.0000
Fe2 0.2500 0.2500 0.2500
Cu1 0.2500 0.2500 0.7500
Hg1 0.0000 0.0000 0.5000
```